Computed, not measured: a geometry-optimized Ce4PuAl structure at the GGA-PBE level of DFT.

Cell and atoms, written as extended XYZ:
```
12
Lattice="7.913 -3.014 0.000 7.913 3.014 0.000 -2.309 0.000 6.494" Properties=species:S:1:pos:R:3 pbc="T T T"
Ce 0.553 0.596 3.023
Ce -0.602 -0.596 6.270
Ce 2.917 0.516 5.569
Ce 4.072 -0.516 2.322
Ce 9.446 0.516 4.171
Ce 10.600 -0.516 0.925
Ce 14.119 0.596 0.224
Ce 12.964 -0.596 3.471
Pu 2.802 1.507 3.247
Pu 3.957 -1.507 0.000
Al 7.336 0.628 1.623
Al 6.181 -0.628 4.870
```

Calculated values
D(E_F) in states/eV/atom: 1.991
Total magnetic moment in μB per atom: 0.00
Formation enthalpy at 0 K in eV/atom: -0.061
Energy above the lowest structure with this stoichiometry in meV/atom: 0

=====

Computed, not measured: a geometry-optimized Ce8Pu3Al2 structure at the GGA-PBE level of DFT.

Cell and atoms, written as extended XYZ:
```
13
Lattice="7.039 -3.239 0.000 7.039 3.239 0.000 -3.149 0.000 7.356" Properties=species:S:1:pos:R:3 pbc="T T T"
Ce 0.120 0.000 2.518
Ce 5.164 1.678 0.390
Ce 1.782 0.000 4.914
Ce 5.764 1.678 6.966
Ce 5.164 -1.678 0.390
Ce 9.146 0.000 2.442
Ce 5.764 -1.678 6.966
Ce 10.808 0.000 4.838
Pu 5.464 1.486 3.678
Pu 7.039 0.000 0.000
Pu 5.464 -1.486 3.678
Al 3.141 0.000 2.158
Al 7.787 0.000 5.199
```

Calculated values
D(E_F) in states/eV/atom: 2.464
Total magnetic moment in μB per atom: 0.43
Formation enthalpy at 0 K in eV/atom: 0.069

=====

Computed, not measured: a geometry-optimized Ce2PuAl structure at the GGA-PBE level of DFT.

Cell and atoms, written as extended XYZ:
```
16
Lattice="6.552 0.000 0.000 0.000 9.373 0.000 0.000 0.000 6.486" Properties=species:S:1:pos:R:3 pbc="T T T"
Ce 0.000 0.000 0.000
Ce 0.000 4.686 0.000
Ce 1.638 2.343 1.622
Ce 1.638 7.030 4.865
Ce 3.276 0.000 3.243
Ce 3.276 4.686 3.243
Ce 4.914 2.343 1.622
Ce 4.914 7.030 4.865
Pu 1.638 2.343 4.865
Pu 1.638 7.030 1.622
Pu 4.914 2.343 4.865
Pu 4.914 7.030 1.622
Al 0.000 0.000 3.243
Al 0.000 4.686 3.243
Al 3.276 0.000 0.000
Al 3.276 4.686 0.000
```

Calculated values
D(E_F) in states/eV/atom: 2.247
Total magnetic moment in μB per atom: 1.86
Formation enthalpy at 0 K in eV/atom: -0.148
Energy above the lowest structure with this stoichiometry in meV/atom: 8